Material: Y6ZnCo2
Method: DFT, GGA-PBE
State: relaxed

Space group   Immm, No. 71
Energy of formation from the pure elements   -0.2045 eV per atom

abc: 8.3084 8.3084 8.3084
angles: 111.88 109.63 106.94
Fractional coordinates of all 18 atoms:
Y: 0.0449 0.2392 0.8057
Y: 0.1791 0.2787 0.4578
Y: 0.1791 0.7213 0.9004
Y: 0.3258 0.0131 0.6873
Y: 0.3258 0.6384 0.3127
Y: 0.4335 0.2392 0.1943
Y: 0.5665 0.7608 0.8057
Y: 0.6742 0.3616 0.6873
Y: 0.6742 0.9869 0.3127
Y: 0.8209 0.2787 0.0996
Y: 0.8209 0.7213 0.5422
Y: 0.9551 0.7608 0.1943
Zn: 0.0000 0.0000 0.0000
Zn: 0.5000 0.5000 0.0000
Co: 0.1136 0.6136 0.5000
Co: 0.3356 0.0000 0.3356
Co: 0.6644 0.0000 0.6644
Co: 0.8864 0.3864 0.5000

Material: SiBAsRhS
Method: DFT, GGA-PBE
State: relaxed

Distance to the lowest polymorph of the same formula   0.226 eV/atom
Space group   P1, No. 1
Formation energy without anion corrections   0.025 eV/atom

abc: 4.0107 4.1765 6.3205
angles: 80.77 75.47 81.23
Fractional coordinates of all 5 atoms:
Si: 0.0000 0.0000 0.0000
B: 0.3122 0.5684 0.1253
As: 0.6147 0.7836 0.8245
Rh: 0.8190 0.4522 0.1834
S: 0.2294 0.3925 0.4162

Material: Pm2In9Pb
Method: DFT, GGA-PBE
State: relaxed

Space group   P4/mmm, No. 123
Energy of formation from the pure elements   -0.2617 eV per atom

abc: 4.7235 4.7235 14.3942
angles: 90.00 90.00 90.00
Fractional coordinates of all 12 atoms:
Pm: 0.0000 0.0000 0.1623
Pm: 0.0000 0.0000 0.8377
In: 0.0000 0.5000 0.0000
In: 0.0000 0.5000 0.3291
In: 0.0000 0.5000 0.6709
In: 0.5000 0.0000 0.0000
In: 0.5000 0.0000 0.3291
In: 0.5000 0.0000 0.6709
In: 0.5000 0.5000 0.1624
In: 0.5000 0.5000 0.5000
In: 0.5000 0.5000 0.8376
Pb: 0.0000 0.0000 0.5000

Material: LiPr4Dy3Se8
Method: DFT, GGA-PBE
State: relaxed

Space group   R-3m, No. 166
Formation energy without anion corrections   -1.782 eV/atom

abc: 8.3749 8.3749 8.3749
angles: 59.11 59.11 59.11
Fractional coordinates of all 16 atoms:
Li: 0.0000 0.0000 0.0000
Pr: 0.0000 0.0000 0.5000
Pr: 0.0000 0.5000 0.0000
Pr: 0.5000 0.0000 0.0000
Pr: 0.5000 0.5000 0.5000
Dy: 0.0000 0.5000 0.5000
Dy: 0.5000 0.0000 0.5000
Dy: 0.5000 0.5000 0.0000
Se: 0.2400 0.2400 0.7489
Se: 0.2400 0.7489 0.2400
Se: 0.2511 0.7600 0.7600
Se: 0.2556 0.2556 0.2556
Se: 0.7444 0.7444 0.7444
Se: 0.7489 0.2400 0.2400
Se: 0.7600 0.2511 0.7600
Se: 0.7600 0.7600 0.2511

Material: Cd5InAu3
Method: DFT, GGA-PBE
State: relaxed

Distance to the lowest polymorph of the same formula   0.161 eV/atom
Space group   C2/m, No. 12
Energy of formation from the pure elements   -0.0101 eV per atom

abc: 7.3452 7.3452 10.1734
angles: 102.43 102.43 70.29
Fractional coordinates of all 18 atoms:
Cd: 0.0737 0.0737 0.4034
Cd: 0.1154 0.4994 0.3883
Cd: 0.1802 0.8198 0.0000
Cd: 0.2609 0.2609 0.9703
Cd: 0.4994 0.1154 0.3883
Cd: 0.5006 0.8846 0.6117
Cd: 0.7391 0.7391 0.0297
Cd: 0.8198 0.1802 0.0000
Cd: 0.8846 0.5006 0.6117
Cd: 0.9263 0.9263 0.5966
In: 0.4074 0.4074 0.7211
In: 0.5926 0.5926 0.2789
Au: 0.1658 0.1658 0.1851
Au: 0.1669 0.1669 0.6915
Au: 0.5000 0.5000 0.0000
Au: 0.5000 0.5000 0.5000
Au: 0.8331 0.8331 0.3085
Au: 0.8342 0.8342 0.8149

Material: Rb2BaH
Method: DFT, GGA-PBE
State: relaxed

Distance to the lowest polymorph of the same formula   0.102 eV/atom
Space group   I4_1/amd, No. 141

abc: 8.8118 8.8118 8.8118
angles: 119.96 119.96 90.07
Fractional coordinates of all 8 atoms:
Rb: 0.0000 0.0000 0.0000
Rb: 0.0000 0.0000 0.5000
Rb: 0.0000 0.5000 0.0000
Rb: 0.5000 0.0000 0.5000
Ba: 0.3750 0.6250 0.7500
Ba: 0.6250 0.3750 0.2500
H: 0.1250 0.8750 0.2500
H: 0.8750 0.1250 0.7500

Values for calculated density, g cm⁻³, ordered as above
5.4, 4.1, 7.9, 6.9, 8.4, 2.1
Values for Fermi-level density of states, states/eV per cell, ordered as above
21.034, 1.586, 6.693, 7.996, 6.377, 8.578
Values for VASP energy, eV/atom, ordered as above
-6.2345, -5.6211, -3.4163, -5.7019, -1.9152, -1.6442